Here is a relaxed structure of NiAg2Pt from Alexandria via LeMat-Bulk. Energies are from PBE.

Values from the calculation:
Total magnetic moment ... 0.30 μB/cell
E_form ... 39.7 kJ/mol of formula units
Mass density ... 12574 kg/m³
Space-group type ... C2/m
D(E_F) ... 3.07 states/eV/f.u.

abc: 4.960 4.960 4.737
angles: 79.01 79.01 32.88
Each line ends with the local moment (μB).
Positions (direct):
Ag  0.005  0.005  0.994  -0.01
Ag  0.495  0.495  0.506  -0.01
Ni  0.750  0.750  0.750  0.28
Pt  0.250  0.250  0.250  0.06